[1]
A plane-wave DFT calculation with PBE was carried out for crystalline Sr2LaP at its relaxed geometry.

Cell: 11.018 11.018 11.018 Å, 22.12 22.12 22.12°
Positions (direct):
Sr: 0.718 0.718 0.718
Sr: 0.282 0.282 0.282
La: 0.500 0.500 0.500
P: 0.000 0.000 0.000

M_tot in μB/cell: 0.00
ΔE_f in eV/atom: -0.40

***

[2]
A plane-wave DFT calculation with PBE was carried out for crystalline Pu2InTc at its relaxed geometry.

Cell: 3.206 3.206 8.744 Å, 90.00 90.00 90.00°
Site moments in Bohr magnetons follow the coordinates.
Positions (direct):
In: 0.500 0.500 0.500  -0.05
Tc: 0.500 0.500 0.000  -0.86
Pu: 0.000 0.000 0.791  5.12
Pu: 0.000 0.000 0.209  5.12

M_tot in μB/cell: 9.73
ΔE_f in eV/atom: -0.09

***

[3]
A plane-wave DFT calculation with PBE was carried out for crystalline Cs2LiPrCl6 at its relaxed geometry.

Cell: 6.733 7.619 7.619 Å, 120.00 90.00 90.00°
Positions (direct):
Cs: 0.194 0.333 0.667
Cs: 0.806 0.667 0.333
Li: 0.000 0.000 0.000
Pr: 0.500 0.000 0.000
Cl: 0.762 0.160 0.320
Cl: 0.762 0.160 0.840
Cl: 0.762 0.680 0.840
Cl: 0.238 0.840 0.160
Cl: 0.238 0.320 0.160
Cl: 0.238 0.840 0.680

M_tot in μB/cell: 0.00
Uncorrected formation energy in eV/atom: -2.0853

***

Result set for calculated volume: 41.58 22.47 33.85 Å³ per atom, one per record in the order listed.